Entry 1:
{"formula": "SrMg2Ru", "functional": "PBE-GGA", "state": "relaxed", "spacegroup": "Imm2, No. 44", "formation_enthalpy_0k_kcal_per_mol_atoms": 4.64, "dos_ef_per_ev_cell": 3.69, "cell": [[-1.6798, 2.1748, 7.1765], [1.6798, -2.1748, 7.1765], [1.6798, 2.1748, -7.1765]], "species": ["Sr", "Mg", "Mg", "Ru"], "frac_coords": [[0.0000, 0.0000, 0.0000], [0.3189, 0.8189, 0.5000], [0.6786, 0.6786, 0.0000], [0.8237, 0.3237, 0.5000]]}

***

Entry 2:
{"formula": "ReI3", "functional": "PBE-GGA", "state": "relaxed", "e_form_raw_ev_per_atom": 0.456, "spacegroup": "Imm2, No. 44", "de_polymorph_mev_per_atom": 500, "dos_ef_per_ev_cell": 2.46, "cell": [[-1.8246, 5.8873, 3.6353], [1.8246, -5.8873, 3.6353], [1.8246, 5.8873, -3.6353]], "species": ["Re", "I", "I", "I"], "frac_coords": [[0.0000, 0.0000, 0.0000], [0.2943, 0.6421, 0.6523], [0.7151, 0.2151, 0.5000], [0.9898, 0.6421, 0.3477]]}

***

Entry 3:
{"formula": "BiC3Br", "functional": "PBE-GGA", "state": "relaxed", "e_form_raw_ev_per_atom": 3.349, "spacegroup": "Pm-3m, No. 221", "de_polymorph_mev_per_atom": 133, "dos_ef_per_ev_cell": 4.26, "cell": [[4.6579, 0.0000, 0.0000], [0.0000, 4.6579, 0.0000], [0.0000, 0.0000, 4.6579]], "species": ["Bi", "C", "C", "C", "Br"], "frac_coords": [[0.0000, 0.0000, 0.0000], [0.0000, 0.0000, 0.5000], [0.0000, 0.5000, 0.0000], [0.5000, 0.0000, 0.0000], [0.5000, 0.5000, 0.5000]]}

***

Entry 4:
{"formula": "InCu2Os", "functional": "PBE-GGA", "state": "relaxed", "spacegroup": "Immm, No. 71", "formation_enthalpy_0k_kcal_per_mol_atoms": 9.12, "dos_ef_per_ev_cell": 1.67, "cell": [[-1.4725, 2.2752, 4.5493], [1.4725, -2.2752, 4.5493], [1.4725, 2.2752, -4.5493]], "species": ["In", "Cu", "Cu", "Os"], "frac_coords": [[0.0000, 0.0000, 0.0000], [0.2609, 0.7609, 0.5000], [0.7391, 0.2391, 0.5000], [0.5000, 0.5000, 0.0000]]}